Run a
Entry from the Alexandria database: crystalline Nb3HN at its relaxed geometry (PBE).

POSCAR file:
```
Nb3HN
1.0
5.488 0.000 0.000
0.000 5.629 0.000
0.000 0.000 8.124
Nb H N
12 4 4
direct
0.845 0.167 0.925 Nb
0.345 0.333 0.425 Nb
0.345 0.333 0.075 Nb
0.155 0.833 0.425 Nb
0.155 0.833 0.075 Nb
0.655 0.667 0.575 Nb
0.655 0.667 0.925 Nb
0.845 0.167 0.575 Nb
0.870 0.427 0.250 Nb
0.370 0.073 0.750 Nb
0.130 0.573 0.750 Nb
0.630 0.927 0.250 Nb
0.530 0.557 0.250 H
0.030 0.943 0.750 H
0.470 0.443 0.750 H
0.970 0.057 0.250 H
0.500 0.000 0.000 N
0.000 0.500 0.500 N
0.000 0.500 0.000 N
0.500 0.000 0.500 N
```

=====

Run b
Entry from the Alexandria database: crystalline Nb3HN at its relaxed geometry (PBE).

POSCAR file:
```
Nb3HN
1.0
-4.075 -1.004 -0.260
0.758 -2.163 -3.526
0.708 -3.464 2.277
H Nb N
1 3 1
direct
0.500 0.500 0.500 H
0.000 0.500 0.000 Nb
0.000 0.000 0.500 Nb
0.500 0.000 0.000 Nb
0.000 0.000 0.000 N
```

=====

Which is most stable, and by how much? run a, by 78.1 kJ/mol of atoms.